SrZrPb2: relaxed, GGA-PBE.

Its total moment is 0.00 μB per formula unit. The value obtained for the density of states at the Fermi level is 4.8 states/eV per cell. The calculation puts the formation energy at -0.163 eV per atom. The calculated volume is 31.9 Å³/atom.

The space group is C2/m (No. 12) and the conventional cell measures 8.960, 4.334 and 6.909 Å, with angles of 90.00, 108.18 and 90.00 degrees. Symmetry generates all atoms from Sr at (0.000, 0.000, 0.000), Zr at (0.000, 0.500, 0.500) and Pb at (0.235, 0.000, 0.695).



Ho3GaSn: relaxed, GGA-PBE.

Its total moment is 0.00 μB per formula unit. The value obtained for the density of states at the Fermi level is 18.8 states/eV per cell. The calculation puts the formation energy at -0.307 eV per atom. The calculated volume is 26.4 Å³/atom.

The space group is Pnma (No. 62) and the conventional cell measures 5.837, 10.982 and 8.249 Å, with angles of 90.00, 90.00 and 90.00 degrees. Symmetry generates all atoms from Ho at (0.002, 0.106, 0.127), Ho at (0.242, 0.750, 0.261), Ga at (0.023, 0.250, 0.427) and Sn at (0.000, 0.000, 0.500).



CsTlAgBr3: relaxed, GGA-PBE.

As for the energy relative to the elements, uncorrected: -0.98 eV/atom. Its total moment is 0.00 μB per formula unit. The value obtained for the density of states at the Fermi level is 0.0 states/eV per cell. The calculated volume is 41.7 Å³/atom.

The space group is P2_1/m (No. 11) and the conventional cell measures 10.297, 4.680 and 10.394 Å, with angles of 90.00, 93.19 and 90.00 degrees. Symmetry generates all atoms from Cs at (0.128, 0.250, 0.194), Tl at (0.352, 0.750, 0.824), Ag at (0.418, 0.750, 0.405), Br at (0.135, 0.250, 0.850), Br at (0.320, 0.250, 0.504) and Br at (0.394, 0.750, 0.146).



LuGePt: relaxed, GGA-PBE.

Its total moment is 0.00 μB per formula unit. The value obtained for the density of states at the Fermi level is 0.8 states/eV per cell. The calculation puts the formation energy at -1.083 eV per atom. The calculated volume is 19.1 Å³/atom.

The space group is P-6m2 (No. 187) and the conventional cell measures 4.3712, 4.3712 and 3.4647 Å, with angles of 90.00, 90.00 and 120.00 degrees. Symmetry generates all atoms from Lu at (0.0000, 0.0000, 0.0000), Ge at (0.6667, 0.3333, 0.5000) and Pt at (0.3333, 0.6667, 0.5000).



HfBiPb2: relaxed, GGA-PBE.

Its total moment is 0.00 μB per formula unit. The value obtained for the density of states at the Fermi level is 10.2 states/eV per cell. The calculation puts the formation energy at 0.386 eV per atom. The calculated volume is 29.7 Å³/atom.

The space group is R-3m (No. 166, hexagonal axes) and the conventional cell measures 3.3622, 3.3622 and 36.3550 Å, with angles of 90.00, 90.00 and 120.00 degrees. Symmetry generates all atoms from Hf at (0.0000, 0.0000, 0.0000), Bi at (0.0000, 0.0000, 0.5000) and Pb at (0.0000, 0.0000, 0.0828).



Sb2AuIO: relaxed, GGA-PBE.

As for the energy relative to the elements, uncorrected: 0.24 eV/atom. Its total moment is 0.00 μB per formula unit. The value obtained for the density of states at the Fermi level is 3.0 states/eV per cell. The calculated volume is 25.5 Å³/atom. The calculation puts the energy above the most stable polymorph in this dataset at 0.000 eV per atom.

The space group is P4/mmm (No. 123) and the conventional cell measures 4.485, 4.485 and 6.338 Å, with angles of 90.00, 90.00 and 90.00 degrees. Symmetry generates all atoms from Sb at (0.000, 0.500, 0.000), Au at (0.000, 0.000, 0.500), I at (0.500, 0.500, 0.500) and O at (0.500, 0.500, 0.000).